Density functional theory data (PBE) for La6Nd2Ho after structural relaxation.

abc: 3.681 3.681 27.733
angles: 90.00 90.00 120.00
Fractional positions:
La: 0.000 0.000 0.062
La: 0.000 0.000 0.282
La: 0.000 0.000 0.718
La: 0.000 0.000 0.938
La: 0.333 0.667 0.395
La: 0.333 0.667 0.605
Nd: 0.333 0.667 0.170
Nd: 0.333 0.667 0.830
Ho: 0.000 0.000 0.500

Values from the calculation:
Final energy   -43.17 eV for the cell shown
N(E_F)   16.894 states/eV per cell
Mass density   6.567 Mg/m³

Density functional theory data (PBE) for PrSn2As2Pd7 after structural relaxation.

abc: 4.268 4.268 12.624
angles: 93.98 93.98 89.44
Fractional positions:
Pr: 0.000 0.000 0.000
Sn: 0.058 0.058 0.337
Sn: 0.942 0.942 0.663
As: 0.448 0.448 0.716
As: 0.552 0.552 0.284
Pd: 0.029 0.534 0.171
Pd: 0.278 0.278 0.527
Pd: 0.466 0.971 0.829
Pd: 0.500 0.500 0.000
Pd: 0.534 0.029 0.171
Pd: 0.722 0.722 0.473
Pd: 0.971 0.466 0.829

Values from the calculation:
Final energy   -63.50 eV for the cell shown
N(E_F)   3.925 states/eV per cell
Mass density   9.239 Mg/m³

Density functional theory data (PBE) for As2OsPt after structural relaxation.

abc: 2.769 3.925 7.140
angles: 90.00 97.79 90.00
Fractional positions:
As: 0.000 0.000 0.000
As: 0.195 0.500 0.581
Os: 0.070 0.500 0.214
Pt: 0.640 0.000 0.414

Values from the calculation:
Final energy   -25.92 eV for the cell shown
N(E_F)   2.384 states/eV per cell
Mass density   11.559 Mg/m³

Calculated values (eV per atom) of formation enthalpy at 0 K for the records, taken in order: 0.056 -0.422 0.162.